A plane-wave DFT calculation with GGA+U was carried out for a relaxed Co3ReF crystal.

Cell lengths 4.010, 4.010, 4.010 Å; angles 90.00, 90.00, 90.00 degrees
Fractional positions:
Co 0.000 0.000 0.500
Co 0.000 0.500 0.000
Co 0.500 0.000 0.000
Re 0.500 0.500 0.500
F 0.000 0.000 0.000

Energy above the lowest structure with this stoichiometry   0.00 eV per formula unit
Raw total energy   -5.2592 eV/atom
Space-group type   No. 221